# 1
A plane-wave DFT calculation with PBE was carried out for ErTiH2 after structural relaxation.

a b c (Å): 3.1985 3.1985 15.7859
angles (deg): 90.00 90.00 120.00
Space group R-3m (No. 166, hexagonal axes)
Asymmetric unit:
Er (0.0000, 0.0000, 0.0000) (multiplicity 3)
Ti (0.0000, 0.0000, 0.5000) (multiplicity 3)
H (0.0000, 0.0000, 0.2270) (multiplicity 6)

Summary:
Energy = -5.026 eV per atom


# 2
A plane-wave DFT calculation with PBE was carried out for ErTiH after structural relaxation.

a b c (Å): 3.359 5.525 5.801
angles (deg): 109.67 106.79 90.05
Space group P-1 (No. 2)
Asymmetric unit:
Er (0.109, 0.332, 0.219) (multiplicity 2)
Ti (0.346, 0.142, 0.691) (multiplicity 2)
H (0.244, 0.766, 0.489) (multiplicity 2)

Summary:
Energy = -5.392 eV per atom


# 3
A plane-wave DFT calculation with PBE was carried out for Er2TiH after structural relaxation.

a b c (Å): 3.2901 3.2901 25.9346
angles (deg): 90.00 90.00 120.00
Space group R-3m (No. 166, hexagonal axes)
Asymmetric unit:
Er (0.0000, 0.0000, 0.1131) (multiplicity 6)
Ti (0.0000, 0.0000, 0.0000) (multiplicity 3)
H (0.0000, 0.0000, 0.5000) (multiplicity 3)

Summary:
ΔE to the lowest computed polymorph = 73 meV/atom
Energy = -4.861 eV per atom


# 4
A plane-wave DFT calculation with PBE was carried out for Er2TiH after structural relaxation.

a b c (Å): 3.164 3.164 7.686
angles (deg): 90.00 90.00 90.00
Space group P4/mmm (No. 123)
Asymmetric unit:
Er (0.000, 0.000, 0.217) (multiplicity 2)
Ti (0.500, 0.500, 0.500) (multiplicity 1)
H (0.500, 0.500, 0.000) (multiplicity 1)

Summary:
ΔE to the lowest computed polymorph = 0 meV/atom
Energy = -4.934 eV per atom


# 5
A plane-wave DFT calculation with PBE was carried out for ErTlH after structural relaxation.

a b c (Å): 3.625 3.643 8.880
angles (deg): 90.00 96.01 90.00
Space group P2_1/m (No. 11)
Asymmetric unit:
Er (0.217, 0.250, 0.357) (multiplicity 2)
Tl (0.310, 0.250, 0.870) (multiplicity 2)
H (0.246, 0.750, 0.501) (multiplicity 2)

Summary:
ΔE to the lowest computed polymorph = 44 meV/atom
Energy = -3.798 eV per atom


# 6
A plane-wave DFT calculation with PBE was carried out for Er12Tl3H5 after structural relaxation.

a b c (Å): 15.469 15.469 15.469
angles (deg): 90.00 90.00 90.00
Space group Ia-3d (No. 230)
Asymmetric unit:
Er (0.043, 0.054, 0.650) (multiplicity 96)
Tl (0.000, 0.250, 0.125) (multiplicity 24)
H (0.000, 0.000, 0.000) (multiplicity 16)
H (0.000, 0.250, 0.375) (multiplicity 24)

Summary:
Energy = -4.131 eV per atom


# 7
A plane-wave DFT calculation with PBE was carried out for Er3TlH3 after structural relaxation.

a b c (Å): 6.3560 6.3560 22.4305
angles (deg): 90.00 90.00 120.00
Space group R-3 (No. 148, hexagonal axes)
Asymmetric unit:
Er (0.0007, 0.3376, 0.3946) (multiplicity 18)
Tl (0.0000, 0.0000, 0.1668) (multiplicity 6)
H (0.9998, 0.3315, 0.9647) (multiplicity 18)

Summary:
Energy = -4.182 eV per atom


# 8
A plane-wave DFT calculation with PBE was carried out for ErTlH after structural relaxation.

a b c (Å): 3.610 3.610 8.905
angles (deg): 90.00 90.00 90.00
Space group P4/nmm (No. 129, origin choice 2)
Asymmetric unit:
Er (0.250, 0.250, 0.142) (multiplicity 2)
Tl (0.250, 0.250, 0.626) (multiplicity 2)
H (0.250, 0.750, 0.000) (multiplicity 2)

Summary:
ΔE to the lowest computed polymorph = 48 meV/atom
Energy = -3.794 eV per atom


# 9
A plane-wave DFT calculation with PBE was carried out for Er3Tl2H2 after structural relaxation.

a b c (Å): 11.718 4.335 6.981
angles (deg): 90.00 126.30 90.00
Space group C2/m (No. 12)
Asymmetric unit:
Er (0.000, 0.000, 0.000) (multiplicity 2)
Er (0.198, 0.000, 0.755) (multiplicity 4)
Tl (0.044, 0.500, 0.334) (multiplicity 4)
H (0.215, 0.000, 0.089) (multiplicity 4)

Summary:
Energy = -4.013 eV per atom


# 10
A plane-wave DFT calculation with PBE was carried out for Er12Tl6H after structural relaxation.

a b c (Å): 11.9293 11.9293 12.9703
angles (deg): 90.00 90.00 120.00
Space group R-3 (No. 148, hexagonal axes)
Asymmetric unit:
Er (0.0355, 0.8516, 0.3831) (multiplicity 18)
Er (0.0383, 0.1847, 0.8848) (multiplicity 18)
Tl (0.0016, 0.6072, 0.2507) (multiplicity 18)
H (0.0000, 0.0000, 0.5000) (multiplicity 3)

Summary:
Energy = -3.956 eV per atom


# 11
A plane-wave DFT calculation with PBE was carried out for Er6Tl2H after structural relaxation.

a b c (Å): 6.389 8.007 11.328
angles (deg): 90.00 123.80 90.00
Space group P2_1/c (No. 14)
Asymmetric unit:
Er (0.091, 0.190, 0.449) (multiplicity 4)
Er (0.308, 0.681, 0.448) (multiplicity 4)
Er (0.368, 0.026, 0.252) (multiplicity 4)
Tl (0.174, 0.116, 0.746) (multiplicity 4)
H (0.000, 0.000, 0.000) (multiplicity 2)

Summary:
Energy = -4.085 eV per atom


# 12
A plane-wave DFT calculation with PBE was carried out for Er2TlH2 after structural relaxation.

a b c (Å): 3.696 3.696 12.469
angles (deg): 90.00 90.00 90.00
Space group I4/mmm (No. 139)
Asymmetric unit:
Er (0.000, 0.000, 0.152) (multiplicity 4)
Tl (0.000, 0.000, 0.500) (multiplicity 2)
H (0.000, 0.500, 0.250) (multiplicity 4)

Summary:
ΔE to the lowest computed polymorph = 0 meV/atom
Energy = -4.220 eV per atom


Which of these has the highest energy? number 8


What is the energy in the twelfth record? -4.220 eV per atom